# 1
Compound: CdCoSe2
Source: the Alexandria database
Functional: SCAN
Structure: single point on PBEsol structure

Properties
Density of states at the Fermi level = 2.0 states/eV/f.u.
Space group = Cmmm (65)
Raw formation energy = 0.223 eV per atom

Unit cell a=2.9084 b=2.9084 c=8.8722 alpha=90.00 beta=90.00 gamma=81.17
Closest atoms and distances in Å follow each position.
Fractional coordinates of all 4 atoms:
Co 0.5000 0.5000 0.0000  8 Se 2.42-2.68
Se 0.0000 0.0000 0.1709  4 Co 2.42-2.68
Cd 0.5000 0.5000 0.5000  4 Cd 2.91
Se 0.0000 0.0000 0.8291  4 Co 2.42-2.68

# 2
Compound: CdCoSi2
Source: the Alexandria database
Functional: SCAN
Structure: single point on PBEsol structure

Properties
Density of states at the Fermi level = 2.2 states/eV/f.u.
Space group = C2/m (12)
Raw formation energy = 0.190 eV per atom

Unit cell a=3.5181 b=3.9812 c=5.0935 alpha=98.82 beta=90.00 gamma=116.22
Closest atoms and distances in Å follow each position.
Fractional coordinates of all 4 atoms:
Co 0.5000 0.0000 0.0000  6 Si 2.31-2.33
Si 0.2083 0.4165 0.1376  3 Co 2.31-2.33, 2 Si 2.39, 1 Cd 2.56
Si 0.7917 0.5835 0.8624  3 Co 2.31-2.33, 2 Si 2.39, 1 Cd 2.56
Cd 0.0000 0.0000 0.5000  2 Si 2.56

# 3
Compound: CdCoSi2
Source: the Alexandria database
Functional: SCAN
Structure: single point on PBEsol structure

Properties
Density of states at the Fermi level = 2.2 states/eV/f.u.
Space group = Pmm2 (25)
Raw formation energy = 0.249 eV per atom

Unit cell a=2.7256 b=3.2281 c=6.6694 alpha=90.00 beta=90.00 gamma=90.00
Closest atoms and distances in Å follow each position.
Fractional coordinates of all 4 atoms:
Cd 0.0000 0.0000 0.5312  2 Cd 2.73, 1 Si 2.85, 4 Co 2.86
Si 0.0000 0.0000 0.9584  4 Co 2.30
Co 0.5000 0.5000 0.8213  5 Si 2.30-2.45
Si 0.5000 0.5000 0.1891  1 Co 2.45, 6 Si 2.61-2.73

> Which value of raw formation energy does entry 2 give?

0.190 eV per atom

> The lowest density of states at the Fermi level belongs to which entry?

CdCoSe2